# Th6InOs | Alexandria via LeMat-Bulk | PBE-GGA | relaxed
# mass density	12.021	g/cm³
# ΔE_f	-0.3	eV per formula unit
# size of the total moment	0.0	μB per cell
data_Th6InOs
_cell_length_a 6.9077
_cell_length_b 10.6058
_cell_length_c 6.4987
_cell_angle_alpha 90.00
_cell_angle_beta 99.99
_cell_angle_gamma 90.00
_space_group_name_H-M_alt 'C 1 2/m 1'
_space_group_IT_number 12
loop_
_space_group_symop_operation_xyz
'x,y,z'
'-x,-y,-z'
'-x,y,-z'
'x,-y,z'
'x+1/2,y+1/2,z'
'-x+1/2,-y+1/2,-z'
'-x+1/2,y+1/2,-z'
'x+1/2,-y+1/2,z'
loop_
_atom_site_label
_atom_site_fract_x
_atom_site_fract_y
_atom_site_fract_z
Th1 0.1275 0.2087 0.2648
Th2 0.2324 0.5000 0.0960
In1 0.0000 0.5000 0.5000
Os1 0.0000 0.0000 0.5000

=====

# Th6In3Os | Alexandria via LeMat-Bulk | PBE-GGA | relaxed
# mass density	10.724	g/cm³
# ΔE_f	-1.3	eV per formula unit
# size of the total moment	0.0	μB per cell
data_Th6In3Os
_cell_length_a 10.7479
_cell_length_b 10.7479
_cell_length_c 17.8955
_cell_angle_alpha 90.00
_cell_angle_beta 90.00
_cell_angle_gamma 120.00
_space_group_name_H-M_alt 'R -3 m'
_space_group_IT_number 166
_space_group_name_Hall '-R 3 2"'
loop_
_atom_site_label
_atom_site_fract_x
_atom_site_fract_y
_atom_site_fract_z
Th1 0.0942 0.5471 0.0717
Th2 0.0939 0.5470 0.7602
In1 0.1075 0.2150 0.7478
Os1 0.0000 0.0000 0.0000
Os2 0.0000 0.0000 0.5000

=====

# Th2InOs | Alexandria via LeMat-Bulk | PBE-GGA | relaxed
# mass density	11.510	g/cm³
# ΔE_f	-0.7	eV per formula unit
# E above lowest polymorph	0.1018	eV per atom
# size of the total moment	0.0	μB per cell
data_Th2InOs
_cell_length_a 5.8943
_cell_length_b 9.2490
_cell_length_c 8.1416
_cell_angle_alpha 90.00
_cell_angle_beta 90.00
_cell_angle_gamma 90.00
_space_group_name_H-M_alt 'P n a 21'
_space_group_IT_number 33
loop_
_space_group_symop_operation_xyz
'x,y,z'
'-x,-y,z+1/2'
'-x+1/2,y+1/2,z+1/2'
'x+1/2,-y+1/2,z'
loop_
_atom_site_label
_atom_site_fract_x
_atom_site_fract_y
_atom_site_fract_z
Th1 0.9995 0.0653 0.0000
Th2 0.9998 0.3744 0.3128
In1 0.2491 0.2504 0.6747
Os1 0.0008 0.6303 0.4534

=====

# Th2InOs | Alexandria via LeMat-Bulk | PBE-GGA | relaxed
# mass density	10.699	g/cm³
# ΔE_f	-1.0	eV per formula unit
# E above lowest polymorph	0.0327	eV per atom
# size of the total moment	0.0	μB per cell
data_Th2InOs
_cell_length_a 4.2596
_cell_length_b 4.2596
_cell_length_c 7.5968
_cell_angle_alpha 90.00
_cell_angle_beta 90.00
_cell_angle_gamma 120.00
_space_group_name_H-M_alt 'P -3 m 1'
_space_group_IT_number 164
_space_group_name_Hall '-P 3 2"'
loop_
_atom_site_label
_atom_site_fract_x
_atom_site_fract_y
_atom_site_fract_z
Th1 0.3333 0.6667 0.3085
In1 0.0000 0.0000 0.0000
Os1 0.0000 0.0000 0.5000